[1]
Here is a geometry-optimized ScTe3Br structure from Alexandria via LeMat-Bulk. Energies are from PBE.

Output
SG: Pm-3m, No. 221

abc: 5.4897 5.4897 5.4897
angles: 90.00 90.00 90.00
With the nearest neighbours (Å) after each atom.
Sites, in units of the cell vectors:
Sc: 0.0000 0.0000 0.0000  12 Te 3.88
Te: 0.0000 0.5000 0.5000  2 Br 2.74
Te: 0.5000 0.0000 0.5000  2 Br 2.74
Te: 0.5000 0.5000 0.0000  2 Br 2.74
Br: 0.5000 0.5000 0.5000  6 Te 2.74


[2]
Here is a geometry-optimized Sc2TeBr structure from Alexandria via LeMat-Bulk. Energies are from PBE.

Output
SG: R-3m, No. 166

abc: 6.7361 6.7361 6.7361
angles: 36.02 36.02 36.02
With the nearest neighbours (Å) after each atom.
Sites, in units of the cell vectors:
Sc: 0.2377 0.2377 0.2377  3 Br 2.75, 3 Te 3.01
Sc: 0.7623 0.7623 0.7623  3 Br 2.75, 3 Te 3.01
Te: 0.0000 0.0000 0.0000  6 Sc 3.01
Br: 0.5000 0.5000 0.5000  6 Sc 2.75


[3]
Here is a geometry-optimized ScTe2Br structure from Alexandria via LeMat-Bulk. Energies are from PBE.

Output
SG: Fm-3m, No. 225

abc: 5.2885 5.2885 5.2885
angles: 60.00 60.00 60.00
With the nearest neighbours (Å) after each atom.
Sites, in units of the cell vectors:
Sc: 0.0000 0.0000 0.0000  8 Te 3.24
Te: 0.2500 0.2500 0.2500  4 Br 3.24, 4 Sc 3.24
Te: 0.7500 0.7500 0.7500  4 Br 3.24, 4 Sc 3.24
Br: 0.5000 0.5000 0.5000  8 Te 3.24


[4]
Here is a geometry-optimized Sc2TeBr structure from Alexandria via LeMat-Bulk. Energies are from PBE.

Output
SG: Pmmm, No. 47

abc: 3.8945 4.1834 6.1239
angles: 90.00 90.00 90.00
With the nearest neighbours (Å) after each atom.
Sites, in units of the cell vectors:
Sc: 0.0000 0.0000 0.0000  4 Br 2.86
Sc: 0.5000 0.0000 0.5000  4 Te 2.86
Te: 0.0000 0.5000 0.5000  4 Sc 2.86
Br: 0.5000 0.5000 0.0000  4 Sc 2.86


[5]
Here is a geometry-optimized ScTe2Br structure from Alexandria via LeMat-Bulk. Energies are from PBE.

Output
SG: P4mm, No. 99

abc: 3.2923 3.2923 11.2257
angles: 90.00 90.00 90.00
With the nearest neighbours (Å) after each atom.
Sites, in units of the cell vectors:
Sc: 0.0000 0.0000 0.0000  4 Br 2.85, 4 Te 3.07
Te: 0.0000 0.0000 0.5167  4 Te 3.29
Te: 0.5000 0.5000 0.1786  4 Sc 3.07, 4 Te 3.29
Br: 0.5000 0.5000 0.8533  4 Sc 2.85


[6]
Here is a geometry-optimized ScTe2Br structure from Alexandria via LeMat-Bulk. Energies are from PBE.

Output
SG: C2/m, No. 12

abc: 5.4847 5.4847 4.3148
angles: 90.13 90.13 117.73
With the nearest neighbours (Å) after each atom.
Sites, in units of the cell vectors:
Sc: 0.0000 0.0000 0.0000  2 Br 2.84
Te: 0.0000 0.5000 0.5000  2 Te 2.84
Te: 0.5000 0.0000 0.5000  2 Te 2.84
Br: 0.5000 0.5000 0.0000  2 Sc 2.84


[7]
Here is a geometry-optimized Sc2TeBr structure from Alexandria via LeMat-Bulk. Energies are from PBE.

Output
SG: R-3m, No. 166

abc: 8.8467 8.8467 8.8467
angles: 26.06 26.06 26.06
With the nearest neighbours (Å) after each atom.
Sites, in units of the cell vectors:
Sc: 0.1006 0.1006 0.1006  1 Br 2.58, 3 Te 2.86
Sc: 0.8994 0.8994 0.8994  1 Br 2.58, 3 Te 2.86
Te: 0.5000 0.5000 0.5000  6 Sc 2.86
Br: 0.0000 0.0000 0.0000  2 Sc 2.58


[8]
Here is a geometry-optimized ScTeBr3 structure from Alexandria via LeMat-Bulk. Energies are from PBE.

Output
SG: Pm-3m, No. 221

abc: 5.7446 5.7446 5.7446
angles: 90.00 90.00 90.00
With the nearest neighbours (Å) after each atom.
Sites, in units of the cell vectors:
Sc: 0.0000 0.0000 0.0000  12 Br 4.06
Te: 0.5000 0.5000 0.5000  6 Br 2.87
Br: 0.0000 0.5000 0.5000  2 Te 2.87
Br: 0.5000 0.0000 0.5000  2 Te 2.87
Br: 0.5000 0.5000 0.0000  2 Te 2.87


The calculation returns the following calculated density values, one per record and in order: 5.10; 5.22; 6.03; 4.95; 5.19; 5.49; 4.19; 3.61 g cm⁻³.
The calculation returns the following uncorrected formation energy values, one per record and in order: 0.48; -0.86; -0.29; -0.69; -0.67; -0.42; -0.83; 0.18 eV per atom.